Entry 1:
First-principles (PBE-GGA) data for crystalline Zr8C3N4 at its relaxed geometry, as listed in OQMD.

crystal system = monoclinic
E = -9.9045 eV per atom
symmetry = C2/m

abc: 6.578 6.578 6.578
angles: 119.93 119.93 90.09
Fractional coordinates of all 15 atoms:
1 C 0.500 0.000 0.000
2 C 0.000 0.500 0.000
3 C 0.500 0.500 0.500
4 N 0.000 0.000 0.000
5 N 0.000 0.000 0.500
6 N 0.500 0.000 0.500
7 N 0.000 0.500 0.500
8 Zr 0.756 0.244 0.000
9 Zr 0.244 0.244 0.000
10 Zr 0.756 0.756 0.000
11 Zr 0.244 0.756 0.000
12 Zr 0.243 0.243 0.486
13 Zr 0.749 0.251 0.500
14 Zr 0.251 0.749 0.500
15 Zr 0.757 0.757 0.514

Entry 2:
First-principles (PBE-GGA) data for crystalline TaFePbAu at its relaxed geometry, as listed in OQMD.

offset from the most stable computed form = 22 meV/atom
crystal system = cubic
E = -6.2475 eV per atom
symmetry = F-43m

abc: 4.653 4.653 4.653
angles: 60.00 60.00 60.00
Fractional coordinates of all 4 atoms:
1 Au 0.250 0.250 0.250
2 Fe 0.750 0.750 0.750
3 Pb 0.000 0.000 0.000
4 Ta 0.500 0.500 0.500

Entry 3:
First-principles (PBE-GGA) data for crystalline FeCoBW at its relaxed geometry, as listed in OQMD.

offset from the most stable computed form = 49 meV/atom
crystal system = cubic
E = -8.4443 eV per atom
symmetry = F-43m

abc: 3.955 3.955 3.955
angles: 60.00 60.00 60.00
Fractional coordinates of all 4 atoms:
1 B 0.000 0.000 0.000
2 Co 0.500 0.500 0.500
3 Fe 0.750 0.750 0.750
4 W 0.250 0.250 0.250

Entry 4:
First-principles (PBE-GGA) data for crystalline Na8Cd3 at its relaxed geometry, as listed in OQMD.

crystal system = monoclinic
E = -1.2348 eV per atom
symmetry = C2/m

abc: 5.331 5.331 12.197
angles: 102.48 102.48 60.05
Fractional coordinates of all 11 atoms:
1 Cd 0.000 0.000 0.000
2 Cd 0.457 0.457 0.370
3 Cd 0.543 0.543 0.630
4 Na 0.364 0.364 0.091
5 Na 0.729 0.729 0.186
6 Na 0.090 0.090 0.271
7 Na 0.820 0.820 0.460
8 Na 0.180 0.180 0.540
9 Na 0.910 0.910 0.729
10 Na 0.271 0.271 0.814
11 Na 0.636 0.636 0.909

Entry 5:
First-principles (PBE-GGA) data for crystalline LiScCoTe3 at its relaxed geometry, as listed in OQMD.

crystal system = orthorhombic
E = -4.8055 eV per atom
symmetry = Cmcm

abc: 3.909 7.464 10.299
angles: 90.00 90.00 74.82
Fractional coordinates of all 12 atoms:
1 Co 0.516 0.969 0.250
2 Co 0.484 0.031 0.750
3 Li 0.230 0.541 0.250
4 Li 0.770 0.459 0.750
5 Sc 0.000 0.000 0.000
6 Sc 0.000 0.000 0.500
7 Te 0.638 0.723 0.077
8 Te 0.903 0.195 0.250
9 Te 0.638 0.723 0.423
10 Te 0.362 0.277 0.577
11 Te 0.097 0.805 0.750
12 Te 0.362 0.277 0.923

Entry 6:
First-principles (PBE-GGA) data for crystalline RbCuTe3Mo at its relaxed geometry, as listed in OQMD.

crystal system = orthorhombic
E = -4.4272 eV per atom
symmetry = Cmcm

abc: 8.565 8.565 10.557
angles: 90.00 90.00 27.40
Fractional coordinates of all 12 atoms:
1 Cu 0.531 0.531 0.250
2 Cu 0.469 0.469 0.750
3 Mo 0.000 0.000 0.000
4 Mo 0.000 0.000 0.500
5 Rb 0.245 0.245 0.250
6 Rb 0.755 0.755 0.750
7 Te 0.613 0.613 0.045
8 Te 0.933 0.933 0.250
9 Te 0.613 0.613 0.455
10 Te 0.387 0.387 0.545
11 Te 0.067 0.067 0.750
12 Te 0.387 0.387 0.955

Entry 7:
First-principles (PBE-GGA) data for crystalline KAsPdO at its relaxed geometry, as listed in OQMD.

offset from the most stable computed form = 266 meV/atom
crystal system = tetragonal
E = -4.1890 eV per atom
symmetry = P4/nmm

abc: 4.238 4.238 9.853
angles: 90.00 90.00 90.00
Fractional coordinates of all 8 atoms:
1 As 0.750 0.750 0.368
2 As 0.250 0.250 0.632
3 K 0.250 0.250 0.146
4 K 0.750 0.750 0.854
5 O 0.750 0.250 0.000
6 O 0.250 0.750 0.000
7 Pd 0.750 0.250 0.500
8 Pd 0.250 0.750 0.500

Entry 8:
First-principles (PBE-GGA) data for crystalline HfNb2Si2 at its relaxed geometry, as listed in OQMD.

offset from the most stable computed form = 0 meV/atom
crystal system = tetragonal
E = -8.9471 eV per atom
symmetry = P4/mbm

abc: 6.878 6.878 3.501
angles: 90.00 90.00 90.00
Fractional coordinates of all 10 atoms:
1 Hf 0.000 0.000 0.000
2 Hf 0.500 0.500 0.000
3 Nb 0.329 0.171 0.500
4 Nb 0.829 0.329 0.500
5 Nb 0.171 0.671 0.500
6 Nb 0.671 0.829 0.500
7 Si 0.625 0.125 0.000
8 Si 0.125 0.375 0.000
9 Si 0.875 0.625 0.000
10 Si 0.375 0.875 0.000

Entry 9:
First-principles (PBE-GGA) data for crystalline NpN2 at its relaxed geometry, as listed in OQMD.

crystal system = cubic
E = -10.8178 eV per atom
symmetry = Fm-3m

abc: 3.676 3.676 3.676
angles: 60.00 60.00 60.00
Fractional coordinates of all 3 atoms:
1 N 0.250 0.250 0.250
2 N 0.750 0.750 0.750
3 Np 0.000 0.000 0.000

Entry 10:
First-principles (PBE-GGA) data for crystalline Y2Cd3Mo4N3 at its relaxed geometry, as listed in OQMD.

crystal system = monoclinic
E = -7.4490 eV per atom
symmetry = C2/c

abc: 5.706 5.706 14.139
angles: 101.62 101.62 60.30
Fractional coordinates of all 24 atoms:
1 Cd 0.583 0.893 0.249
2 Cd 0.060 0.940 0.250
3 Cd 0.107 0.417 0.251
4 Cd 0.893 0.583 0.749
5 Cd 0.940 0.060 0.750
6 Cd 0.417 0.107 0.751
7 Mo 0.862 0.693 0.065
8 Mo 0.181 0.035 0.065
9 Mo 0.965 0.819 0.435
10 Mo 0.307 0.138 0.435
11 Mo 0.693 0.862 0.565
12 Mo 0.035 0.181 0.565
13 Mo 0.819 0.965 0.935
14 Mo 0.138 0.307 0.935
15 N 0.500 0.000 0.000
16 N 0.184 0.659 0.000
17 N 0.341 0.816 0.500
18 N 0.000 0.500 0.500
19 N 0.659 0.184 0.500
20 N 0.816 0.341 0.000
21 Y 0.537 0.374 0.111
22 Y 0.626 0.463 0.389
23 Y 0.374 0.537 0.611
24 Y 0.463 0.626 0.889